[1]
Computed, not measured: crystalline Ce6Pa at its relaxed geometry at the GGA-PBE level of DFT.

Results
**Energy**: -5.54 eV per atom
**Mass density**: 8.18 g/cm3

Unit cell a=7.578 b=7.578 c=7.578 alpha=90.00 beta=90.00 gamma=90.00
Fractional coordinates of all 14 atoms:
Ce  0.000  0.250  0.500
Ce  0.000  0.500  0.250
Ce  0.000  0.500  0.750
Ce  0.000  0.750  0.500
Ce  0.250  0.000  0.500
Ce  0.250  0.500  0.000
Ce  0.500  0.000  0.250
Ce  0.500  0.000  0.750
Ce  0.500  0.250  0.000
Ce  0.500  0.750  0.000
Ce  0.750  0.000  0.500
Ce  0.750  0.500  0.000
Pa  0.000  0.000  0.000
Pa  0.500  0.500  0.500

=====

[2]
Computed, not measured: crystalline VTe2 at its relaxed geometry at the GGA-PBE level of DFT.

Results
**Mass density**: 6.20 g/cm3
**Uncorrected formation energy**: -0.31 eV/atom

Unit cell a=3.599 b=3.599 c=7.302 alpha=90.00 beta=90.00 gamma=120.00
Fractional coordinates of all 3 atoms:
V  0.000  0.000  0.000
Te  0.333  0.667  0.238
Te  0.667  0.333  0.762

=====

[3]
Computed, not measured: crystalline CrNi14Ir at its relaxed geometry at the GGA-PBE level of DFT.

Results
**Energy**: -6.20 eV per atom
**Mass density**: 9.84 g/cm3

Unit cell a=8.209 b=5.039 c=5.039 alpha=59.62 beta=90.00 gamma=90.00
Fractional coordinates of all 16 atoms:
Cr  0.000  0.000  0.000
Ni  0.000  0.000  0.500
Ni  0.000  0.500  0.000
Ni  0.250  0.165  0.165
Ni  0.252  0.163  0.668
Ni  0.252  0.668  0.163
Ni  0.253  0.667  0.667
Ni  0.500  0.332  0.332
Ni  0.500  0.332  0.833
Ni  0.500  0.833  0.332
Ni  0.500  0.833  0.833
Ni  0.747  0.667  0.667
Ni  0.748  0.163  0.668
Ni  0.748  0.668  0.163
Ni  0.750  0.165  0.165
Ir  0.000  0.500  0.500

=====

> What is the mass density in the second record?

6.20 g/cm3

=====

> mass density of number 3 (CrNi14Ir)?

9.84 g/cm3

=====

> The highest mass density belongs to which entry?

CrNi14Ir

=====

What did the first record say?
Computed, not measured: crystalline Ce6Pa at its relaxed geometry at the GGA-PBE level of DFT.

Results
**Energy**: -5.54 eV per atom
**Mass density**: 8.18 g/cm3

Unit cell a=7.578 b=7.578 c=7.578 alpha=90.00 beta=90.00 gamma=90.00
Fractional coordinates of all 14 atoms:
Ce  0.000  0.250  0.500
Ce  0.000  0.500  0.250
Ce  0.000  0.500  0.750
Ce  0.000  0.750  0.500
Ce  0.250  0.000  0.500
Ce  0.250  0.500  0.000
Ce  0.500  0.000  0.250
Ce  0.500  0.000  0.750
Ce  0.500  0.250  0.000
Ce  0.500  0.750  0.000
Ce  0.750  0.000  0.500
Ce  0.750  0.500  0.000
Pa  0.000  0.000  0.000
Pa  0.500  0.500  0.500